Run P
Density functional theory data (GGA-PBEsol) for a relaxed structure of Y2Ge2O7.

POSCAR file:
```
Y2Ge2O7
1.0
-6.3053 -1.9194 2.3720
-0.6242 -5.6170 4.1385
-1.5857 0.8007 6.7758
O Y Ge
14 4 4
Direct
0.7970 0.2030 0.7970 O
0.5000 0.5000 0.5000 O
0.0470 0.4530 0.4530 O
0.4530 0.0470 0.0470 O
0.4530 0.0470 0.4530 O
0.0470 0.0470 0.4530 O
0.7500 0.7500 0.7500 O
0.2030 0.7970 0.7970 O
0.4530 0.4530 0.0470 O
0.2030 0.2030 0.7970 O
0.0470 0.4530 0.0470 O
0.7970 0.2030 0.2030 O
0.7970 0.7970 0.2030 O
0.2030 0.7970 0.2030 O
0.6250 0.6250 0.6250 Y
0.6250 0.6250 0.1250 Y
0.1250 0.6250 0.6250 Y
0.6250 0.1250 0.6250 Y
0.1250 0.6250 0.1250 Ge
0.1250 0.1250 0.6250 Ge
0.1250 0.1250 0.1250 Ge
0.6250 0.1250 0.1250 Ge
```

***

Run Q
Density functional theory data (GGA-PBEsol) for a relaxed structure of Y2Ge2O7.

POSCAR file:
```
Y2Ge2O7
1.0
4.9535 0.0039 0.0052
-0.7346 5.6905 -0.0034
-0.7346 -1.6223 5.4543
Y O Ge
2 7 2
Direct
0.0000 0.3058 0.6942 Y
0.0000 0.6942 0.3058 Y
0.7884 0.6010 0.9190 O
0.7243 0.4007 0.4007 O
0.2116 0.3990 0.0810 O
0.2757 0.5993 0.5993 O
0.2116 0.0810 0.3990 O
0.5000 0.0000 0.0000 O
0.7884 0.9190 0.6010 O
0.4085 0.2300 0.2300 Ge
0.5915 0.7700 0.7700 Ge
```

***

Run R
Density functional theory data (GGA-PBEsol) for a relaxed structure of Y2Ge2O7.

POSCAR file:
```
Y2Ge2O7
1.0
6.7952 0.0000 0.0000
0.0000 6.7952 0.0000
0.0000 0.0000 12.3602
Ge O Y
8 28 8
Direct
0.3999 0.3477 0.3690 Ge
0.6001 0.6523 0.8690 Ge
0.1001 0.8477 0.3810 Ge
0.6523 0.6001 0.1310 Ge
0.1523 0.8999 0.1190 Ge
0.8999 0.1523 0.8810 Ge
0.3477 0.3999 0.6310 Ge
0.8477 0.1001 0.6190 Ge
0.3022 0.3022 0.5000 O
0.1446 0.6822 0.0444 O
0.5654 0.1618 0.3213 O
0.1822 0.3554 0.2944 O
0.3178 0.8554 0.4556 O
0.1618 0.5654 0.6787 O
0.5325 0.5781 0.6276 O
0.5781 0.5325 0.3724 O
0.4675 0.4219 0.1276 O
0.9219 0.0325 0.3776 O
0.1978 0.8022 0.2500 O
0.6978 0.6978 0.0000 O
0.4219 0.4675 0.8724 O
0.0654 0.3382 0.9287 O
0.3554 0.1822 0.7056 O
0.6822 0.1446 0.9556 O
0.6446 0.8178 0.2056 O
0.8022 0.1978 0.7500 O
0.9675 0.0781 0.1224 O
0.6618 0.9346 0.5713 O
0.4346 0.8382 0.8213 O
0.3382 0.0654 0.0713 O
0.8554 0.3178 0.5444 O
0.8178 0.6446 0.7944 O
0.9346 0.6618 0.4287 O
0.0781 0.9675 0.8776 O
0.8382 0.4346 0.1787 O
0.0325 0.9219 0.6224 O
0.3530 0.8745 0.6353 Y
0.8745 0.3530 0.3647 Y
0.1255 0.6470 0.8647 Y
0.8530 0.6255 0.6147 Y
0.3745 0.1470 0.8853 Y
0.6255 0.8530 0.3853 Y
0.6470 0.1255 0.1353 Y
0.1470 0.3745 0.1147 Y
```

***

Which of them is most stable? Easy: run P.

***

Run P
Density functional theory data (GGA-PBEsol) for a relaxed structure of GeOs3Pd.

POSCAR file:
```
GeOs3Pd
1.0
4.4356 0.0000 0.0000
0.0000 4.4356 0.0000
0.0000 0.0000 4.4356
Os Pd Ge
3 1 1
Direct
0.0000 0.5000 0.0000 Os
0.0000 0.0000 0.5000 Os
0.5000 0.0000 0.0000 Os
0.5000 0.5000 0.5000 Pd
0.0000 0.0000 0.0000 Ge
```

***

Run Q
Density functional theory data (GGA-PBEsol) for a relaxed structure of GeOs3Pd.

POSCAR file:
```
GeOs3Pd
1.0
4.6471 0.0000 0.0000
0.0000 4.6471 0.0000
0.0000 0.0000 4.6471
Os Pd Ge
3 1 1
Direct
0.5000 0.0000 0.0000 Os
0.0000 0.5000 0.0000 Os
0.0000 0.0000 0.5000 Os
0.0000 0.0000 0.0000 Pd
0.5000 0.5000 0.5000 Ge
```

***

Which of them is most stable? Easy: run P.

***

Run P
Density functional theory data (GGA-PBEsol) for a relaxed structure of ZnGeP2.

POSCAR file:
```
ZnGeP2
1.0
3.7964 0.0000 0.0000
0.0000 3.7964 0.0000
0.0000 0.0000 5.4478
Ge Zn P
1 1 2
Direct
0.5000 0.5000 0.5000 Ge
0.0000 0.0000 0.0000 Zn
0.0000 0.5000 0.2452 P
0.5000 0.0000 0.7548 P
```

***

Run Q
Density functional theory data (GGA-PBEsol) for a relaxed structure of ZnGeP2.

POSCAR file:
```
ZnGeP2
1.0
5.4231 0.0000 0.0000
0.0000 5.4231 0.0000
-2.7116 -2.7116 5.3476
Zn P Ge
2 4 2
Direct
0.5000 0.5000 0.0000 Zn
0.7500 0.2500 0.5000 Zn
0.3728 0.8750 0.2500 P
0.8772 0.3750 0.2500 P
0.6250 0.6272 0.7500 P
0.1250 0.1228 0.7500 P
0.2500 0.7500 0.5000 Ge
0.0000 0.0000 0.0000 Ge
```

***

Which of them is most stable? Easy: run Q.

***

Run P
Density functional theory data (GGA-PBEsol) for a relaxed structure of Ge2Pt3.

POSCAR file:
```
Ge2Pt3
1.0
-1.6943 2.8153 -1.1250
-4.3702 -4.5092 0.6583
-1.1569 2.1676 7.1666
Pt Ge
6 4
Direct
0.1603 0.3206 0.5584 Pt
0.1603 0.3206 0.9416 Pt
0.8397 0.6794 0.4416 Pt
0.0340 0.0681 0.2500 Pt
0.9660 0.9319 0.7500 Pt
0.8397 0.6794 0.0584 Pt
0.5000 0.0000 0.5000 Ge
0.2435 0.4870 0.2500 Ge
0.5000 0.0000 0.0000 Ge
0.7565 0.5130 0.7500 Ge
```

***

Run Q
Density functional theory data (GGA-PBEsol) for a relaxed structure of Ge2Pt3.

POSCAR file:
```
Ge2Pt3
1.0
-4.7143 -2.9766 4.0227
2.0214 -6.7845 -2.6513
8.2647 -1.0259 8.9263
Pt Ge
24 16
Direct
0.6284 0.4411 0.4115 Pt
0.1228 0.0579 0.4087 Pt
0.1284 0.5589 0.0885 Pt
0.3772 0.4421 0.9087 Pt
0.8772 0.9421 0.5913 Pt
0.4105 0.7500 0.7821 Pt
0.1228 0.4421 0.4087 Pt
0.5895 0.2500 0.2179 Pt
0.3772 0.0579 0.9087 Pt
0.6284 0.0589 0.4115 Pt
0.8439 0.7500 0.7846 Pt
0.3439 0.2500 0.7154 Pt
0.3716 0.5589 0.5885 Pt
0.8716 0.0589 0.9115 Pt
0.9105 0.2500 0.7179 Pt
0.6561 0.7500 0.2846 Pt
0.3716 0.9411 0.5885 Pt
0.1561 0.2500 0.2154 Pt
0.6228 0.5579 0.0913 Pt
0.8716 0.4411 0.9115 Pt
0.1284 0.9411 0.0885 Pt
0.0895 0.7500 0.2821 Pt
0.8772 0.5579 0.5913 Pt
0.6228 0.9421 0.0913 Pt
0.3745 0.5282 0.2547 Ge
0.6255 0.0282 0.7453 Ge
0.1275 0.2500 0.0058 Ge
0.8788 0.2500 0.5095 Ge
0.1255 0.9718 0.7547 Ge
0.3745 0.9718 0.2547 Ge
0.6275 0.7500 0.4942 Ge
0.8745 0.0282 0.2453 Ge
0.3788 0.7500 0.9905 Ge
0.1212 0.7500 0.4905 Ge
0.8745 0.4718 0.2453 Ge
0.6255 0.4718 0.7453 Ge
0.1255 0.5282 0.7547 Ge
0.6212 0.2500 0.0095 Ge
0.3725 0.2500 0.5058 Ge
0.8725 0.7500 0.9942 Ge
```

***

Which of them is most stable? Easy: run Q.